Ni2OsF | PBE with a Hubbard U | optimized geometry

Values from the calculation:
density of states at the Fermi level: 2.05 states/eV/f.u.
VASP energy: -3.52 eV/atom
space-group type: Fm-3m
total magnetization: 5.00 Bohr magnetons per cell

Cell lengths 4.2254, 4.2254, 4.2254 Å; angles 60.00, 60.00, 60.00 degrees
Site moments in Bohr magnetons follow the coordinates.
Fractional coordinates of all 4 atoms:
Ni 0.2500 0.2500 0.2500  -1.50
Os 0.5000 0.5000 0.5000  -1.95
Ni 0.7500 0.7500 0.7500  -1.50
F 0.0000 0.0000 0.0000  -0.05